# 1
{"formula": "ZnH2W", "functional": "GGA-PBEsol", "state": "optimized geometry", "lattice_angstrom": [[-2.140, 2.140, 4.003], [2.140, -2.140, 4.003], [2.140, 2.140, -4.003]], "species": ["Zn", "Zn", "H", "H", "H", "H", "W", "W"], "frac_coords": [[0.000, 0.000, 0.000], [0.750, 0.250, 0.500], [0.129, 0.625, 0.004], [0.375, 0.379, 0.504], [0.621, 0.125, 0.996], [0.875, 0.871, 0.496], [0.250, 0.750, 0.500], [0.500, 0.500, 0.000]], "magnetic_moment_mub_per_fu": 0.00, "sg": "I-42d (122)", "total_energy_ev_per_atom": -5.06}



# 2
{"formula": "YH3", "functional": "GGA-PBEsol", "state": "optimized geometry", "lattice_angstrom": [[3.607, 0.000, 0.000], [-1.803, 3.124, 0.000], [0.000, 0.000, 6.464]], "species": ["Y", "Y", "H", "H", "H", "H", "H", "H"], "frac_coords": [[0.333, 0.667, 0.250], [0.667, 0.333, 0.750], [0.000, 0.000, 0.250], [0.000, 0.000, 0.750], [0.333, 0.667, 0.595], [0.333, 0.667, 0.905], [0.667, 0.333, 0.095], [0.667, 0.333, 0.405]], "magnetic_moment_mub_per_fu": 0.00, "sg": "P6_3/mmc (194)", "total_energy_ev_per_atom": -4.83}